MgCdSnF2: optimized geometry, GGA-PBE.

Results
Its space group is P4/mmm. Its mass density is 4.01 g/cm3.

Lattice parameters (Å, degrees): 4.3049 4.3049 6.5515 90.00 90.00 90.00
Last column: nearest neighbours and their distance in Å.
Fractional positions:
1 Mg 0.0000 0.0000 0.0000  4 Sn 3.04, 2 Cd 3.28
2 Cd 0.0000 0.0000 0.5000  4 F 2.15
3 Sn 0.5000 0.5000 0.0000  4 Mg 3.04
4 F 0.0000 0.5000 0.5000  2 Cd 2.15
5 F 0.5000 0.0000 0.5000  2 Cd 2.15

=====

SrMgCd2F8: optimized geometry, GGA-PBE.

Results
Its space group is P2/m. Its mass density is 4.59 g/cm3.

Lattice parameters (Å, degrees): 4.5783 7.2377 5.3392 90.00 90.28 90.00
Last column: nearest neighbours and their distance in Å.
Fractional positions:
1 Sr 0.0000 0.0000 0.0000  6 F 2.40-2.45
2 Mg 0.0000 0.5000 0.0000  6 F 2.05
3 Cd 0.5000 0.2658 0.5000  6 F 2.23-2.32
4 Cd 0.5000 0.7342 0.5000  6 F 2.23-2.32
5 F 0.1349 0.2847 0.2220  1 Mg 2.05, 1 Cd 2.23
6 F 0.1349 0.7153 0.2220  1 Mg 2.05, 1 Cd 2.23
7 F 0.3382 0.5000 0.7507  1 Mg 2.05, 2 Cd 2.29
8 F 0.4204 0.0000 0.7341  2 Cd 2.32, 1 Sr 2.40
9 F 0.5796 0.0000 0.2659  2 Cd 2.32, 1 Sr 2.40
10 F 0.6618 0.5000 0.2493  1 Mg 2.05, 2 Cd 2.29
11 F 0.8651 0.2847 0.7780  1 Mg 2.05, 1 Cd 2.23
12 F 0.8651 0.7153 0.7780  1 Mg 2.05, 1 Cd 2.23

=====

MgTlCd2F8: optimized geometry, GGA-PBE.

Results
Its space group is P2/m. Its mass density is 5.42 g/cm3.

Lattice parameters (Å, degrees): 5.0652 7.0748 5.1797 90.00 90.40 90.00
Last column: nearest neighbours and their distance in Å.
Fractional positions:
1 Mg 0.0000 0.0000 0.0000  6 F 2.04-2.06
2 Tl 0.0000 0.5000 0.0000  6 F 2.32-2.44
3 Cd 0.5000 0.2340 0.5000  6 F 2.25-2.29
4 Cd 0.5000 0.7660 0.5000  6 F 2.25-2.29
5 F 0.1939 0.2138 0.1836  1 Mg 2.04, 1 Cd 2.25
6 F 0.1939 0.7862 0.1836  1 Mg 2.04, 1 Cd 2.25
7 F 0.2789 0.0000 0.7121  1 Mg 2.06, 2 Cd 2.28
8 F 0.3132 0.5000 0.6745  2 Cd 2.29, 1 Tl 2.32
9 F 0.6868 0.5000 0.3255  2 Cd 2.29, 1 Tl 2.32
10 F 0.7211 0.0000 0.2879  1 Mg 2.06, 2 Cd 2.28
11 F 0.8061 0.2138 0.8164  1 Mg 2.04, 1 Cd 2.25
12 F 0.8061 0.7862 0.8164  1 Mg 2.04, 1 Cd 2.25

=====

MgTl2CdF6: optimized geometry, GGA-PBE.

Results
Its space group is P4/mmm. Its mass density is 6.73 g/cm3.

Lattice parameters (Å, degrees): 4.3476 4.3476 8.6065 90.00 90.00 90.00
Last column: nearest neighbours and their distance in Å.
Fractional positions:
1 Mg 0.0000 0.0000 0.0000  6 F 1.96-2.17
2 Tl 0.5000 0.5000 0.2373  12 F 2.98-3.14
3 Tl 0.5000 0.5000 0.7627  12 F 2.98-3.14
4 Cd 0.0000 0.0000 0.5000  6 F 2.17-2.34
5 F 0.0000 0.0000 0.2279  1 Mg 1.96
6 F 0.0000 0.0000 0.7721  1 Mg 1.96
7 F 0.0000 0.5000 0.0000  2 Mg 2.17
8 F 0.0000 0.5000 0.5000  2 Cd 2.17
9 F 0.5000 0.0000 0.0000  2 Mg 2.17
10 F 0.5000 0.0000 0.5000  2 Cd 2.17

=====

MgTlCdF6: optimized geometry, GGA-PBE.

Results
Its space group is P-31c. Its mass density is 5.64 g/cm3.

Lattice parameters (Å, degrees): 5.7429 5.7429 9.3784 90.00 90.00 120.00
Last column: nearest neighbours and their distance in Å.
Fractional positions:
1 Mg 0.3333 0.6667 0.2500  6 F 2.03
2 Mg 0.6667 0.3333 0.7500  6 F 2.03
3 Tl 0.3333 0.6667 0.7500  6 F 2.41
4 Tl 0.6667 0.3333 0.2500  6 F 2.41
5 Cd 0.0000 0.0000 0.0000  6 F 2.30
6 Cd 0.0000 0.0000 0.5000  6 F 2.30
7 F 0.0507 0.3622 0.1296  1 Mg 2.03
8 F 0.0507 0.6886 0.3704  1 Mg 2.03
9 F 0.3114 0.3622 0.3704  1 Mg 2.03
10 F 0.3114 0.9493 0.1296  1 Mg 2.03
11 F 0.3622 0.0507 0.6296  1 Mg 2.03
12 F 0.3622 0.3114 0.8704  1 Mg 2.03
13 F 0.6378 0.6886 0.1296  1 Mg 2.03
14 F 0.6378 0.9493 0.3704  1 Mg 2.03
15 F 0.6886 0.0507 0.8704  1 Mg 2.03
16 F 0.6886 0.6378 0.6296  1 Mg 2.03
17 F 0.9493 0.3114 0.6296  1 Mg 2.03
18 F 0.9493 0.6378 0.8704  1 Mg 2.03

=====

Mg2Tl3CdF9: optimized geometry, GGA-PBE.

Results
Its space group is P-3m1. Its mass density is 6.83 g/cm3.

Lattice parameters (Å, degrees): 5.9921 5.9921 7.3932 90.00 90.00 120.00
Last column: nearest neighbours and their distance in Å.
Fractional positions:
1 Mg 0.3333 0.6667 0.1539  6 F 2.03-2.07
2 Mg 0.6667 0.3333 0.8461  6 F 2.03-2.07
3 Tl 0.0000 0.0000 0.0000  12 F 2.97-3.00
4 Tl 0.3333 0.6667 0.6660  12 F 3.00-3.06
5 Tl 0.6667 0.3333 0.3340  12 F 3.00-3.06
6 Cd 0.0000 0.0000 0.5000  6 F 2.27
7 F 0.0000 0.5000 0.0000  2 Mg 2.07
8 F 0.1755 0.3510 0.3168  1 Mg 2.03, 1 Cd 2.27
9 F 0.1755 0.8245 0.3168  1 Mg 2.03, 1 Cd 2.27
10 F 0.3510 0.1755 0.6832  1 Mg 2.03, 1 Cd 2.27
11 F 0.5000 0.0000 0.0000  2 Mg 2.07
12 F 0.5000 0.5000 0.0000  2 Mg 2.07
13 F 0.6490 0.8245 0.3168  1 Mg 2.03, 1 Cd 2.27
14 F 0.8245 0.1755 0.6832  1 Mg 2.03, 1 Cd 2.27
15 F 0.8245 0.6490 0.6832  1 Mg 2.03, 1 Cd 2.27

=====

Total energy values, unit Ha/atom, following the record order: -0.1090, -0.1688, -0.1511, -0.1569, -0.1548, -0.1633.